# HgBiPS2

A relaxed HgBiPS2 crystal (PBE-GGA, the Alexandria database).

The structure in POSCAR format:
```
HgBiPS2
1.0
-2.4011 0.7008 -4.2644
-2.9619 -3.8193 1.0401
-3.2009 3.1125 2.3138
P Bi S Hg
1 1 2 1
Direct
0.0000 0.0000 0.5000
0.5000 0.5000 0.5000
0.0000 0.5000 0.0000
0.5000 0.0000 0.0000
0.0000 0.0000 0.0000
```

Computed properties:
The value obtained for the formation energy without anion corrections is 75.8 kJ per mole of atoms. As for the energy above the lowest structure with this stoichiometry: 0 meV per atom. As for the space group: P4/mmm (123). Its calculated volume is 122.9 Å³/cell.

# Sr2HgBiP

A relaxed Sr2HgBiP crystal (PBE-GGA, the Alexandria database).

The structure in POSCAR format:
```
Sr2HgBiP
1.0
-1.7642 4.1999 -0.6744
-6.2996 -1.9013 4.6388
6.5636 3.6800 5.7477
Hg Sr Bi P
2 4 2 2
Direct
0.7500 0.4879 0.2591
0.2500 0.5121 0.7409
0.7500 0.8109 0.6083
0.2500 0.1891 0.3917
0.2500 0.2119 0.9728
0.7500 0.7881 0.0272
0.2500 0.7220 0.3031
0.7500 0.2780 0.6969
0.7500 0.1646 0.1766
0.2500 0.8354 0.8234
```

Computed properties:
For the total DFT energy (no corrections), the calculation gives -0.1229 Ha/atom. As for the space group: P2_1/m (11). Its calculated volume is 336.6 Å³/cell.

# Tc2HgBiP

A relaxed Tc2HgBiP crystal (PBE-GGA, the Alexandria database).

The structure in POSCAR format:
```
Tc2HgBiP
1.0
-0.9165 -4.4452 0.2859
4.9019 -1.0438 -0.5146
0.5133 0.1845 4.5149
Hg P Bi Tc
1 1 1 2
Direct
0.0000 0.5000 0.0000
0.0000 0.0000 0.0000
0.5000 0.5000 0.5000
0.0000 0.0000 0.5000
0.5000 0.0000 0.0000
```

Computed properties:
As for the energy above the lowest structure with this stoichiometry: 0 meV per atom. As for the space group: P4/mmm (123). Its calculated volume is 104.2 Å³/cell.

# Tc2HgBiP

A relaxed Tc2HgBiP crystal (PBE-GGA, the Alexandria database).

The structure in POSCAR format:
```
Tc2HgBiP
1.0
-2.2513 -0.5076 -4.7133
1.7322 -4.9223 -0.2972
-4.4099 -1.6901 2.2884
Tc P Bi Hg
2 1 1 1
Direct
0.5000 0.0000 0.0000
0.0000 0.0000 0.5000
0.0000 0.5000 0.0000
0.0000 0.0000 0.0000
0.5000 0.5000 0.5000
```

Computed properties:
As for the energy above the lowest structure with this stoichiometry: 1247 meV per atom. As for the space group: P4/mmm (123). Its calculated volume is 143.9 Å³/cell.

# Pa2HgBi

A relaxed Pa2HgBi crystal (PBE-GGA, the Alexandria database).

The structure in POSCAR format:
```
Pa2HgBi
1.0
-1.7792 0.1954 -4.0588
2.5832 -0.4495 -3.5780
-0.7765 -7.0584 -2.4235
Bi Pa Hg
1 2 1
Direct
0.5000 0.5000 0.5000
0.7425 0.7425 0.7725
0.2575 0.2575 0.2275
0.0000 0.0000 0.0000
```

Computed properties:
As for the energy above the lowest structure with this stoichiometry: 184 meV per atom. As for the space group: R-3m (166). Its calculated volume is 120.2 Å³/cell.

# Pa2HgBi

A relaxed Pa2HgBi crystal (PBE-GGA, the Alexandria database).

The structure in POSCAR format:
```
Pa2HgBi
1.0
5.3646 0.0000 0.0000
2.6823 4.6459 0.0000
2.6823 1.5486 4.3802
Hg Pa Bi
1 2 1
Direct
0.0000 0.0000 0.0000
0.7500 0.7500 0.7500
0.2500 0.2500 0.2500
0.5000 0.5000 0.5000
```

Computed properties:
As for the energy above the lowest structure with this stoichiometry: 103 meV per atom. As for the space group: Fm-3m (225). Its calculated volume is 109.2 Å³/cell.